[1]
A relaxed structure of PuGa2Hg, computed with GGA-PBE.

Summary:
Calculated formation energy ... -0.212 eV/atom
Energy above the lowest structure with this stoichiometry ... 0 meV per atom
Energy ... -21.53 eV/f.u.

Cell: 4.6232 4.6232 4.0758 Å, 90.00 90.00 90.00°
Closest atoms and distances in Å follow each position.
Space group P4/mmm (No. 123)
Unique sites:
Pu (0.0000, 0.0000, 0.0000)  8 Ga 3.08, 4 Hg 3.27
Ga (0.0000, 0.5000, 0.5000)  4 Hg 3.08, 4 Pu 3.08, 4 Ga 3.27
Hg (0.5000, 0.5000, 0.0000)  8 Ga 3.08, 4 Pu 3.27

---

[2]
A relaxed structure of Pu2Ga2Hg3, computed with GGA-PBE.

Summary:
Calculated formation energy ... -0.157 eV/atom
Energy ... -36.72 eV/f.u.

Cell: 4.8008 3.0910 11.0501 Å, 90.00 102.47 90.00°
Closest atoms and distances in Å follow each position.
Space group P2/m (No. 10)
Unique sites:
Pu (0.1388, 0.0000, 0.2766)  2 Pu 3.09, 4 Ga 3.17, 6 Hg 3.28-3.36
Ga (0.4250, 0.5000, 0.8513)  3 Hg 2.88-2.99, 3 Ga 3.09-3.21, 4 Pu 3.17
Hg (0.0000, 0.5000, 0.0000)  4 Ga 2.88-2.89, 2 Hg 3.09
Hg (0.2870, 0.5000, 0.5744)  4 Hg 2.89-3.09, 1 Ga 2.99

---

[3]
A relaxed structure of Pu5Ga3Hg3, computed with GGA-PBE.

Summary:
Calculated formation energy ... 0.111 eV/atom
Energy ... -80.43 eV/f.u.

Cell: 10.1303 10.1303 3.0379 Å, 90.00 90.00 120.00°
Closest atoms and distances in Å follow each position.
Space group P-62m (No. 189)
Unique sites:
Pu (0.0000, 0.3402, 0.0000)  2 Ga 2.99, 4 Pu 3.04-3.34, 2 Hg 3.17
Pu (0.3333, 0.6667, 0.0000)  5 Pu 3.04-3.34
Ga (0.0000, 0.8507, 0.0000)  2 Ga 2.62, 2 Hg 2.83
Hg (0.0000, 0.6151, 0.5000)  2 Ga 2.83, 2 Hg 3.04

---

[4]
A relaxed structure of PuGaHg, computed with GGA-PBE.

Summary:
Calculated formation energy ... -0.233 eV/atom
Energy above the lowest structure with this stoichiometry ... 0 meV per atom
Energy ... -18.36 eV/f.u.

Cell: 4.9688 4.9688 3.1389 Å, 90.00 90.00 120.00°
Closest atoms and distances in Å follow each position.
Space group P-6m2 (No. 187)
Unique sites:
Pu (0.0000, 0.0000, 0.0000)  2 Pu 3.14, 6 Hg 3.27, 6 Ga 3.27
Ga (0.6667, 0.3333, 0.5000)  3 Hg 2.87, 2 Ga 3.14
Hg (0.3333, 0.6667, 0.5000)  3 Ga 2.87, 2 Hg 3.14

---

[5]
A relaxed structure of PuGaHg, computed with GGA-PBE.

Summary:
Calculated formation energy ... -0.024 eV/atom
Energy above the lowest structure with this stoichiometry ... 209 meV per atom
Energy ... -17.73 eV/f.u.

Cell: 6.7499 6.7499 6.7499 Å, 90.00 90.00 90.00°
Closest atoms and distances in Å follow each position.
Space group F-43m (No. 216)
Unique sites:
Pu (0.0000, 0.0000, 0.0000)  4 Ga 2.92
Ga (0.2500, 0.2500, 0.2500)  4 Hg 2.92, 4 Pu 2.92
Hg (0.0000, 0.0000, 0.5000)  4 Ga 2.92

---

[6]
A relaxed structure of PuGaHg, computed with GGA-PBE.

Summary:
Calculated formation energy ... 0.048 eV/atom
Energy above the lowest structure with this stoichiometry ... 281 meV per atom
Energy ... -17.52 eV/f.u.

Cell: 10.3518 5.5484 4.4492 Å, 90.00 98.09 90.00°
Closest atoms and distances in Å follow each position.
Space group P2_1/c (No. 14)
Unique sites:
Pu (0.0699, 0.1578, 0.4348)  3 Pu 2.39-2.45
Ga (0.1949, 0.6284, 0.4758)  2 Ga 2.60, 1 Hg 2.80, 1 Pu 2.91
Hg (0.3963, 0.0501, 0.6785)  1 Ga 2.80, 1 Hg 2.90